Material: CsLi6Tl12
Method: DFT, PBE
State: optimized geometry

a b c (Å): 13.2603 13.2603 10.2427
angles (deg): 90.00 90.00 120.00
Space group R-3m (No. 166, hexagonal axes)
Symmetry-distinct sites (fractional):
Cs 0.0000 0.0000 0.0000 x3
Li 0.0376 0.5188 0.2588 x18
Tl 0.0000 0.3805 0.5000 x18
Tl 0.0874 0.1749 0.3388 x18

Calculated values
- Calculated density: 8.39 g/cm3
- E_form: -2.343 kcal/mol of atoms
- Energy: -0.1650 Ry/atom
- Spin magnetization: 0.000 μB/f.u.